1.
Computed, not measured: an optimized crystal structure of KBiB3 at the GGA-PBE level of DFT.

The space group is Pm-3m (No. 221) and the conventional cell measures 4.9633, 4.9633 and 4.9633 Å, with angles of 90.00, 90.00 and 90.00 degrees. The distinct sites, in fractional coordinates, are K at (0.0000, 0.0000, 0.0000), Bi at (0.5000, 0.5000, 0.5000) and B at (0.0000, 0.5000, 0.5000).

The value obtained for the energy of formation is 2.105 eV per atom. For the uncorrected energy, the calculation gives -2.8976 eV per atom. The crystal system is cubic. As for the theoretical density: 3.81 g/cm³. The magnetic moment is 0.00 μB/cell.

---

2.
Computed, not measured: an optimized crystal structure of LiThSn2Pt4 at the GGA-PBE level of DFT.

The space group is R-3m (No. 166, hexagonal axes) and the conventional cell measures 4.4942, 4.4942 and 26.1918 Å, with angles of 90.00, 90.00 and 120.00 degrees. The distinct sites, in fractional coordinates, are Li at (0.0000, 0.0000, 0.0000), Th at (0.0000, 0.0000, 0.5000), Sn at (0.0000, 0.0000, 0.2620), Pt at (0.0000, 0.0000, 0.1031) and Pt at (0.0000, 0.0000, 0.3669).

The value obtained for the energy of formation is -0.803 eV per atom. For the uncorrected energy, the calculation gives -5.9903 eV per atom. The crystal system is trigonal. As for the theoretical density: 13.67 g/cm³. The magnetic moment is 0.00 μB/cell.

---

3.
Computed, not measured: an optimized crystal structure of Hf3ZnSb at the GGA-PBE level of DFT.

The space group is P6_3/mmc (No. 194) and the conventional cell measures 6.8571, 6.8571 and 5.3427 Å, with angles of 90.00, 90.00 and 120.00 degrees. The distinct sites, in fractional coordinates, are Hf at (0.1896, 0.3792, 0.2500), Zn at (0.0000, 0.0000, 0.0000) and Sb at (0.3333, 0.6667, 0.7500).

For the uncorrected energy, the calculation gives -6.9297 eV per atom. The crystal system is hexagonal. As for the theoretical density: 11.03 g/cm³. The calculation puts the uncorrected formation energy at 0.1217 eV/atom. The magnetic moment is 0.00 μB/cell.

---

4.
Computed, not measured: an optimized crystal structure of Nd6Ag3H at the GGA-PBE level of DFT.

The space group is P2_1/c (No. 14) and the conventional cell measures 6.5448, 8.2485 and 11.6417 Å, with angles of 90.00, 119.32 and 90.00 degrees. The distinct sites, in fractional coordinates, are Nd at (0.0708, 0.0599, 0.2393), Nd at (0.1902, 0.7207, 0.0640), Nd at (0.3900, 0.1505, 0.0451), Ag at (0.3274, 0.1056, 0.7252), Ag at (0.5000, 0.0000, 0.5000) and H at (0.0000, 0.0000, 0.0000).

For the uncorrected energy, the calculation gives -4.1658 eV per atom. The crystal system is monoclinic. As for the theoretical density: 7.21 g/cm³. The magnetic moment is 0.00 μB/cell.

---

5.
Computed, not measured: an optimized crystal structure of Mn7Co2Os3 at the GGA-PBE level of DFT.

The space group is Cmmm (No. 65) and the conventional cell measures 4.1481, 27.5667 and 2.6690 Å, with angles of 90.00, 90.00 and 90.00 degrees. The distinct sites, in fractional coordinates, are Mn at (0.0000, 0.0000, 0.0000), Mn at (0.0000, 0.0955, 0.5000), Mn at (0.0000, 0.2660, 0.0000), Mn at (0.0000, 0.4244, 0.0000), Co at (0.0000, 0.1789, 0.0000), Os at (0.0000, 0.3439, 0.5000) and Os at (0.0000, 0.5000, 0.5000).

The value obtained for the energy of formation is 0.295 eV per atom. For the uncorrected energy, the calculation gives -9.0456 eV per atom. The crystal system is orthorhombic. As for the theoretical density: 11.68 g/cm³. The magnetic moment is 6.01 μB/cell.

---

6.
Computed, not measured: an optimized crystal structure of CaFe3Mo at the GGA-PBE level of DFT.

The space group is Pm-3m (No. 221) and the conventional cell measures 4.5875, 4.5875 and 4.5875 Å, with angles of 90.00, 90.00 and 90.00 degrees. The distinct sites, in fractional coordinates, are Ca at (0.0000, 0.0000, 0.0000), Fe at (0.0000, 0.5000, 0.5000) and Mo at (0.5000, 0.5000, 0.5000).

The value obtained for the energy of formation is 0.973 eV per atom. For the uncorrected energy, the calculation gives -6.6716 eV per atom. The crystal system is cubic. As for the theoretical density: 5.22 g/cm³. The magnetic moment is 5.39 μB/cell.